The following is a GGA-PBE calculation of crystalline ZnSi2Se at its relaxed geometry, from Alexandria.

Unit cell a=3.736 b=2.715 c=6.877 alpha=89.97 beta=90.00 gamma=90.00
Sites, in units of the cell vectors:
Se 0.500 0.750 0.750
Si 0.000 0.749 0.041
Si 0.000 0.751 0.459
Zn 0.500 0.250 0.250

Summary:
N(E_F) = 0.35 states/eV/atom
Space-group type = Pmmm, No. 47
Excess energy over the best structure of this formula in the dataset = 273 meV per atom
Total magnetic moment = 0.0000 μB per atom
Formation energy (no corrections) = 285 meV per atom

The following is a GGA-PBE calculation of crystalline ScZnSb2I at its relaxed geometry, from Alexandria.

Unit cell a=5.118 b=5.118 c=5.744 alpha=90.00 beta=90.00 gamma=90.00
Sites, in units of the cell vectors:
I 0.000 0.000 0.500
Sb 0.000 0.500 0.000
Sb 0.500 0.000 0.000
Zn 0.000 0.000 0.000
Sc 0.500 0.500 0.500

Summary:
N(E_F) = 0.54 states/eV/atom
Space-group type = P4/mmm, No. 123
Excess energy over the best structure of this formula in the dataset = 173 meV per atom
Total magnetic moment = 0.0000 μB per atom
Formation energy (no corrections) = 309 meV per atom

The following is a GGA-PBE calculation of crystalline CdCu2Re at its relaxed geometry, from Alexandria.

Unit cell a=3.852 b=3.852 c=9.390 alpha=78.16 beta=78.16 gamma=90.00
Site moments in Bohr magnetons follow the coordinates.
Sites, in units of the cell vectors:
Re 0.000 0.000 0.000  0.84
Re 0.750 0.250 0.500  0.82
Cu 0.655 0.125 0.250  0.10
Cu 0.095 0.625 0.250  0.10
Cu 0.375 0.345 0.750  0.11
Cu 0.875 0.905 0.750  0.10
Cd 0.500 0.500 0.000  0.00
Cd 0.250 0.750 0.500  0.00

Summary:
N(E_F) = 0.64 states/eV/atom
Space-group type = I-42d, No. 122
Total magnetic moment = 0.2778 μB per atom
ΔH_f (0 K) = 4.017 eV/f.u.